Record 1
Tm7Ag2Rh2 | PBE | optimized geometry

The space group is Imm2 (No. 44) and the conventional cell measures 3.714, 15.560 and 9.493 Å, with angles of 90.00, 90.00 and 90.00 degrees. The inequivalent atoms are Tm at (0.000, 0.000, 0.000), Tm at (0.000, 0.123, 0.574), Tm at (0.000, 0.316, 0.377), Tm at (0.000, 0.356, 0.733), Ag at (0.000, 0.000, 0.327), Ag at (0.000, 0.500, 0.242) and Rh at (0.000, 0.244, 0.080).

The value obtained for the energy relative to the lowest polymorph listed for this composition is 0.0 meV/atom.

***

Record 2
NdLuAl | PBE | optimized geometry

The space group is P3m1 (No. 156) and the conventional cell measures 5.0874, 5.0874 and 3.6401 Å, with angles of 90.00, 90.00 and 120.00 degrees. The inequivalent atoms are Nd at (0.0000, 0.0000, 0.0000), Lu at (0.3333, 0.6667, 0.5469) and Al at (0.6667, 0.3333, 0.3732).

The value obtained for the energy relative to the lowest polymorph listed for this composition is 85.9 meV/atom.